1.
{
  "formula": "Pr5Nd6Er",
  "functional": "PBE",
  "state": "relaxed",
  "lattice": [[-4.742, 5.465, -9.851], [-6.056, -1.946, 0.449], [-4.231, 3.473, 3.270]],
  "species": ["Nd", "Nd", "Nd", "Nd", "Nd", "Nd", "Pr", "Pr", "Pr", "Pr", "Pr", "Er"],
  "fractional_positions": [[0.752, 0.082, 0.332], [0.752, 0.414, 0.668], [0.248, 0.918, 0.668], [0.248, 0.250, 0.000], [0.752, 0.750, 0.000], [0.248, 0.586, 0.332], [0.500, 0.834, 0.333], [0.500, 0.166, 0.667], [0.000, 0.667, 0.666], [0.000, 0.333, 0.334], [0.500, 0.500, 0.000], [0.000, 0.000, 0.000]],
  "m_tot_mub_per_cell": 0.00,
  "energy_ev_per_cell": -56.904,
  "crystal_system": "monoclinic",
  "sg": "No. 12",
  "rho_g_cm3": 6.809
}



2.
{
  "formula": "UIrN",
  "functional": "PBE",
  "state": "relaxed",
  "lattice": [[-1.831, 1.470, -4.035], [3.052, -0.706, -1.642], [-2.502, -2.489, 0.229]],
  "species": ["Ir", "N", "U"],
  "fractional_positions": [[0.641, 0.333, 0.667], [0.088, 0.000, 0.000], [0.271, 0.667, 0.333]],
  "m_tot_mub_per_cell": 0.00,
  "crystal_system": "trigonal",
  "sg": "No. 156",
  "rho_g_cm3": 14.590,
  "raw_formation_energy_ev_per_atom": -0.449
}



3.
{
  "formula": "Dy4Ag2Ir",
  "functional": "PBE",
  "state": "relaxed",
  "lattice": [[-0.379, 0.100, 5.007], [2.788, -3.108, 2.792], [6.714, 4.600, 2.935]],
  "species": ["Dy", "Dy", "Dy", "Dy", "Ag", "Ag", "Ir"],
  "fractional_positions": [[0.880, 0.880, 0.361], [0.629, 0.629, 0.114], [0.120, 0.120, 0.639], [0.371, 0.371, 0.886], [0.246, 0.246, 0.262], [0.754, 0.754, 0.738], [0.000, 0.000, 0.000]],
  "m_tot_mub_per_cell": 0.00,
  "energy_ev_per_cell": -35.475,
  "crystal_system": "trigonal",
  "sg": "No. 166",
  "rho_g_cm3": 9.865
}



4.
{
  "formula": "PrSmZr",
  "functional": "PBE",
  "state": "relaxed",
  "lattice": [[4.798, -0.001, 0.007], [0.000, 3.465, -0.286], [-0.016, -2.578, 11.090]],
  "species": ["Sm", "Sm", "Zr", "Zr", "Pr", "Pr"],
  "fractional_positions": [[0.847, 0.520, 0.687], [0.347, 0.470, 0.136], [0.847, 0.811, 0.978], [0.347, 0.179, 0.846], [0.847, 0.148, 0.315], [0.347, 0.841, 0.509]],
  "m_tot_mub_per_cell": 0.00,
  "crystal_system": "orthorhombic",
  "sg": "No. 31",
  "polymorph_energy_mev_per_atom": 34,
  "rho_g_cm3": 7.023
}



5.
{
  "formula": "ErSb2Pt",
  "functional": "PBE",
  "state": "relaxed",
  "lattice": [[-2.927, 1.416, 1.766], [-0.814, -1.125, 3.430], [4.223, 6.973, 5.286]],
  "species": ["Sb", "Sb", "Er", "Pt"],
  "fractional_positions": [[0.108, 0.108, 0.676], [0.892, 0.892, 0.324], [0.000, 0.000, 0.000], [0.500, 0.500, 0.500]],
  "m_tot_mub_per_cell": 0.00,
  "crystal_system": "trigonal",
  "sg": "No. 166",
  "rho_g_cm3": 8.950,
  "raw_formation_energy_ev_per_atom": -0.176
}



6.
{
  "formula": "Sr2AlSnS5",
  "functional": "PBE",
  "state": "relaxed",
  "lattice": [[-3.581, 1.567, -0.096], [-1.590, -8.309, 3.291], [1.583, 4.336, 11.711]],
  "species": ["Sr", "Sr", "Sr", "Sr", "Al", "Al", "S", "S", "S", "S", "S", "S", "S", "S", "S", "S", "Sn", "Sn"],
  "fractional_positions": [[0.111, 0.221, 0.679], [0.127, 0.254, 0.326], [0.873, 0.746, 0.826], [0.889, 0.779, 0.179], [0.554, 0.109, 0.927], [0.446, 0.891, 0.427], [0.322, 0.643, 0.378], [0.715, 0.431, 0.181], [0.351, 0.703, 0.006], [0.678, 0.357, 0.878], [0.966, 0.933, 0.523], [0.649, 0.297, 0.506], [0.505, 0.009, 0.271], [0.495, 0.991, 0.771], [0.034, 0.067, 0.023], [0.285, 0.569, 0.681], [0.791, 0.582, 0.534], [0.209, 0.418, 0.034]],
  "m_tot_mub_per_cell": 0.00,
  "crystal_system": "orthorhombic",
  "sg": "No. 36",
  "rho_g_cm3": 3.664,
  "raw_formation_energy_ev_per_atom": -1.352
}



7.
{
  "formula": "NdMgZnPd2",
  "functional": "PBE",
  "state": "relaxed",
  "lattice": [[4.031, 0.000, 0.000], [0.000, 4.031, 0.000], [-2.015, -2.015, 6.196]],
  "species": ["Pd", "Pd", "Nd", "Zn", "Mg"],
  "fractional_positions": [[0.390, 0.390, 0.780], [0.610, 0.610, 0.220], [0.000, 0.000, 0.000], [0.250, 0.750, 0.500], [0.750, 0.250, 0.500]],
  "m_tot_mub_per_cell": 0.00,
  "energy_ev_per_cell": -21.259,
  "crystal_system": "tetragonal",
  "sg": "No. 119",
  "rho_g_cm3": 7.369
}



8.
{
  "formula": "ThSc2Al",
  "functional": "PBE",
  "state": "relaxed",
  "lattice": [[-2.121, -1.689, 3.656], [3.715, 0.924, 2.582], [-1.701, 4.188, 0.948]],
  "species": ["Sc", "Sc", "Al", "Th"],
  "fractional_positions": [[0.000, 0.500, 0.000], [0.000, 0.000, 0.500], [0.500, 0.000, 0.000], [0.500, 0.500, 0.500]],
  "m_tot_mub_per_cell": 0.00,
  "crystal_system": "tetragonal",
  "sg": "No. 123",
  "polymorph_energy_mev_per_atom": 57,
  "rho_g_cm3": 5.969
}



9.
{
  "formula": "K17Na11Ag",
  "functional": "PBE",
  "state": "relaxed",
  "lattice": [[11.738, 0.523, -3.821], [-5.335, 10.469, -3.821], [0.288, 0.495, 12.300]],
  "species": ["K", "K", "K", "K", "K", "K", "K", "K", "K", "K", "K", "K", "K", "K", "K", "K", "K", "Na", "Na", "Na", "Na", "Na", "Na", "Na", "Na", "Na", "Na", "Na", "Ag"],
  "fractional_positions": [[0.009, 0.363, 0.001], [0.569, 0.344, 0.003], [0.344, 0.569, 0.003], [0.363, 0.009, 0.001], [0.316, 0.706, 0.707], [0.614, 0.381, 0.366], [0.381, 0.381, 0.647], [0.579, 0.995, 0.344], [0.706, 0.316, 0.707], [0.704, 0.704, 0.700], [0.004, 0.004, 0.368], [0.993, 0.346, 0.577], [0.381, 0.614, 0.366], [0.995, 0.579, 0.344], [0.715, 0.715, 0.317], [0.009, 0.009, 0.004], [0.346, 0.993, 0.577], [0.142, 0.316, 0.306], [0.316, 0.142, 0.306], [0.838, 0.651, 0.026], [0.655, 0.031, 0.842], [0.843, 0.031, 0.655], [0.031, 0.843, 0.655], [0.651, 0.838, 0.026], [0.188, 0.188, 0.823], [0.796, 0.183, 0.183], [0.183, 0.796, 0.183], [0.031, 0.655, 0.842], [0.297, 0.297, 0.125]],
  "m_tot_mub_per_cell": 0.00,
  "energy_ev_per_cell": -35.340,
  "crystal_system": "monoclinic",
  "sg": "No. 8",
  "rho_g_cm3": 1.072
}



10.
{
  "formula": "ScTeSeBr2",
  "functional": "PBE",
  "state": "relaxed",
  "lattice": [[5.614, 0.000, 0.000], [0.000, 5.614, 0.000], [0.000, 0.000, 5.522]],
  "species": ["Br", "Br", "Te", "Se", "Sc"],
  "fractional_positions": [[0.000, 0.500, 0.000], [0.500, 0.000, 0.000], [0.000, 0.000, 0.000], [0.000, 0.000, 0.500], [0.500, 0.500, 0.500]],
  "m_tot_mub_per_cell": 1.51,
  "crystal_system": "tetragonal",
  "sg": "No. 123",
  "polymorph_energy_mev_per_atom": 795,
  "rho_g_cm3": 3.925,
  "raw_formation_energy_ev_per_atom": 0.167
}